Nd2ErSn3Pt3 | PBE | relaxed

Lattice parameters (Å, degrees): 4.0941 7.5815 7.5815 119.78 90.00 90.00
Closest atoms and distances in Å follow each position.
Element x y z (fractional)
Nd  0.0000  0.2043  0.7957  5 Pt 3.11-3.13, 6 Sn 3.26-3.41
Nd  0.0000  0.7957  0.2043  5 Pt 3.11-3.13, 6 Sn 3.26-3.41
Er  0.0000  0.3894  0.3894  5 Pt 3.02-3.03, 6 Sn 3.29-3.38
Sn  0.5000  0.0501  0.0501  4 Pt 2.83-2.86
Sn  0.5000  0.5388  0.7937  4 Pt 2.80-2.95
Sn  0.5000  0.7937  0.5388  4 Pt 2.80-2.95
Pt  0.0000  0.7882  0.7882  6 Sn 2.80-2.86, 1 Er 3.03, 2 Nd 3.13
Pt  0.5000  0.1374  0.4588  3 Sn 2.83-2.95, 2 Er 3.02, 4 Nd 3.11
Pt  0.5000  0.4588  0.1374  3 Sn 2.83-2.95, 2 Er 3.02, 4 Nd 3.11

Results
Its total moment is 0.01 μB/cell. As for the total DFT energy (no corrections): -53.84 eV/cell.